## HfBeH2S (PBEsol)

Data for a relaxed structure of HfBeH2S.

Output
- calculated total energy (eV/atom) = -4.806
- total magnetization (μB per formula unit) = 0.00

a b c (Å): 3.5759 3.5759 5.0908
angles (deg): 90.00 90.00 90.00
With the nearest neighbours (Å) after each atom.
Fractional positions:
Hf  0.0000  0.0000  0.0000  4 H 1.79
Be  0.0000  0.0000  0.5000  4 S 2.53, 2 Hf 2.55
H  0.0000  0.5000  0.0000  2 Hf 1.79
H  0.5000  0.0000  0.0000  2 Hf 1.79
S  0.5000  0.5000  0.5000  4 Be 2.53